# 1
An optimized crystal structure of RbSr3Cr. Source: Alexandria via LeMat-Bulk, functional GGA-PBE.

Structure (POSCAR):
```
RbSr3Cr
1.0
6.515 0.000 0.000
0.000 6.515 0.000
0.000 0.000 6.515
Rb Cr Sr
1 1 3
direct
0.000 0.000 0.000 Rb
0.500 0.500 0.500 Cr
0.500 0.000 0.000 Sr
0.000 0.000 0.500 Sr
0.000 0.500 0.000 Sr
```

Distance to the lowest polymorph of the same formula: 53.4 kJ per mole of atoms
Density of states at the Fermi level: 1.8197 states/eV/atom
Calculated total energy: -8.911 eV per cell
Calculated formation energy: 1345.1 meV per atom
Crystal system: cubic

# 2
An optimized crystal structure of La2CoNiH. Source: Alexandria via LeMat-Bulk, functional GGA-PBE.

Structure (POSCAR):
```
La2CoNiH
1.0
3.955 0.000 0.000
0.000 6.600 0.292
0.000 -2.442 7.382
Ni La Co H
2 4 2 2
direct
0.250 0.631 0.290 Ni
0.750 0.369 0.710 Ni
0.750 0.765 0.575 La
0.250 0.235 0.425 La
0.250 0.249 0.944 La
0.750 0.751 0.056 La
0.250 0.605 0.772 Co
0.750 0.395 0.228 Co
0.750 0.145 0.141 H
0.250 0.855 0.859 H
```

Distance to the lowest polymorph of the same formula: 0.0 kJ per mole of atoms
Density of states at the Fermi level: 0.9179 states/eV/atom
Calculated total energy: -55.038 eV per cell
Crystal system: monoclinic

# 3
An optimized crystal structure of TbZrPd6. Source: Alexandria via LeMat-Bulk, functional GGA-PBE.

Structure (POSCAR):
```
TbZrPd6
1.0
4.080 0.000 0.000
0.000 4.080 0.000
0.000 0.000 8.164
Pd Zr Tb
6 1 1
direct
0.000 0.500 0.741 Pd
0.500 0.000 0.259 Pd
0.500 0.500 0.500 Pd
0.000 0.500 0.259 Pd
0.500 0.500 0.000 Pd
0.500 0.000 0.741 Pd
0.000 0.000 0.500 Zr
0.000 0.000 0.000 Tb
```

Density of states at the Fermi level: 0.3010 states/eV/atom
Calculated total energy: -51.223 eV per cell
Calculated formation energy: -861.0 meV per atom
Crystal system: tetragonal

# 4
An optimized crystal structure of CdCuRe. Source: Alexandria via LeMat-Bulk, functional GGA-PBE.

Structure (POSCAR):
```
CdCuRe
1.0
-1.593 1.675 -6.788
-3.899 0.684 -5.769
-0.106 2.707 -0.030
Re Cd Cu
1 1 1
direct
0.323 0.323 0.677 Re
0.005 0.005 0.995 Cd
0.672 0.672 0.328 Cu
```

Distance to the lowest polymorph of the same formula: 3.9 kJ per mole of atoms
Density of states at the Fermi level: 0.3979 states/eV/atom
Calculated total energy: -16.157 eV per cell
Calculated formation energy: 434.2 meV per atom
Crystal system: orthorhombic

# 5
An optimized crystal structure of CsFe2Bi2. Source: Alexandria via LeMat-Bulk, functional GGA-PBE.

Structure (POSCAR):
```
CsFe2Bi2
1.0
9.616 0.000 0.000
0.000 9.616 0.000
0.000 0.000 3.480
Bi Fe Cs
4 4 2
direct
0.641 0.141 0.000 Bi
0.359 0.859 0.000 Bi
0.141 0.359 0.000 Bi
0.859 0.641 0.000 Bi
0.417 0.083 0.500 Fe
0.583 0.917 0.500 Fe
0.083 0.583 0.500 Fe
0.917 0.417 0.500 Fe
0.500 0.500 0.000 Cs
0.000 0.000 0.000 Cs
```

Density of states at the Fermi level: 0.9428 states/eV/atom
Calculated total energy: -46.286 eV per cell
Calculated formation energy: 479.6 meV per atom
Crystal system: tetragonal

# 6
An optimized crystal structure of BaTaBr2. Source: Alexandria via LeMat-Bulk, functional GGA-PBE.

Structure (POSCAR):
```
BaTaBr2
1.0
3.655 0.000 0.000
0.000 3.655 0.000
0.000 0.000 10.753
Br Ta Ba
2 1 1
direct
0.000 0.000 0.932 Br
0.000 0.000 0.568 Br
0.500 0.500 0.250 Ta
0.500 0.500 0.750 Ba
```

Distance to the lowest polymorph of the same formula: 33.9 kJ per mole of atoms
Density of states at the Fermi level: 0.5306 states/eV/atom
Calculated total energy: -16.623 eV per cell
Formation energy without anion corrections: 0.125 eV per atom
Crystal system: tetragonal

# 7
An optimized crystal structure of CeTh3Bi4. Source: Alexandria via LeMat-Bulk, functional GGA-PBE.

Structure (POSCAR):
```
CeTh3Bi4
1.0
4.588 0.000 0.000
0.000 7.971 -0.066
0.000 -2.576 7.544
Ce Bi Th
1 4 3
direct
0.500 0.000 0.000 Ce
0.000 0.249 0.249 Bi
0.500 0.751 0.249 Bi
0.000 0.751 0.751 Bi
0.500 0.249 0.751 Bi
0.500 0.500 0.500 Th
0.000 0.000 0.500 Th
0.000 0.500 0.000 Th
```

Density of states at the Fermi level: 1.4595 states/eV/atom
Calculated total energy: -48.744 eV per cell
Calculated formation energy: -628.3 meV per atom
Crystal system: orthorhombic

# 8
An optimized crystal structure of AcCd3Pd. Source: Alexandria via LeMat-Bulk, functional GGA-PBE.

Structure (POSCAR):
```
AcCd3Pd
1.0
7.433 -0.409 0.000
2.346 5.260 0.000
0.000 0.000 6.216
Ac Cd Pd
2 6 2
direct
0.638 0.697 0.552 Ac
0.922 0.268 0.052 Ac
0.161 0.181 0.552 Cd
0.470 0.260 0.816 Cd
0.400 0.784 0.052 Cd
0.091 0.705 0.789 Cd
0.091 0.705 0.316 Cd
0.470 0.260 0.289 Cd
0.754 0.842 0.052 Pd
0.806 0.124 0.552 Pd
```

Distance to the lowest polymorph of the same formula: 0.0 kJ per mole of atoms
Density of states at the Fermi level: 0.5639 states/eV/atom
Calculated total energy: -28.389 eV per cell
Calculated formation energy: -429.6 meV per atom
Crystal system: monoclinic

# 9
An optimized crystal structure of HgIrBr2. Source: Alexandria via LeMat-Bulk, functional GGA-PBE.

Structure (POSCAR):
```
HgIrBr2
1.0
-3.272 -1.164 1.186
-0.728 -1.026 -3.013
3.861 -8.829 1.986
Hg Ir Br
1 1 2
direct
0.500 0.250 0.250 Hg
0.500 0.750 0.750 Ir
0.000 0.745 0.916 Br
0.000 0.755 0.584 Br
```

Distance to the lowest polymorph of the same formula: 5.3 kJ per mole of atoms
Density of states at the Fermi level: 0.2393 states/eV/atom
Calculated total energy: -11.973 eV per cell
Formation energy without anion corrections: 0.134 eV per atom
Crystal system: monoclinic